No. 1
DFT (PBE-GGA) results for a geometry-optimized NiBi3Rh structure.

ΔH_f (0 K) (eV per atom): 0.0540
E (eV per atom): -4.901
Energy above the most stable polymorph in this dataset (meV per atom): 0.0

Lattice parameters (Å, degrees): 3.474 9.209 8.470 67.19 77.73 78.47
Sites, in units of the cell vectors:
Ni (0.733, 0.583, 0.764)
Ni (0.750, 0.322, 0.018)
Bi (0.369, 0.368, 0.718)
Bi (0.115, 0.537, 0.064)
Bi (0.653, 0.158, 0.365)
Bi (0.596, 0.873, 0.768)
Bi (0.889, 0.032, 0.014)
Bi (0.832, 0.746, 0.417)
Rh (0.026, 0.130, 0.639)
Rh (0.459, 0.775, 0.143)

No. 2
DFT (PBE-GGA) results for a geometry-optimized Ni2BiRh2 structure.

ΔH_f (0 K) (eV per atom): 0.2434
E (eV per atom): -5.786
Energy above the most stable polymorph in this dataset (meV per atom): 10.0

Lattice parameters (Å, degrees): 7.228 7.228 2.985 90.00 90.00 90.00
Sites, in units of the cell vectors:
Ni (0.162, 0.662, 0.500)
Ni (0.662, 0.838, 0.500)
Ni (0.838, 0.338, 0.500)
Ni (0.338, 0.162, 0.500)
Rh (0.369, 0.869, 0.000)
Rh (0.869, 0.631, 0.000)
Rh (0.631, 0.131, 0.000)
Rh (0.131, 0.369, 0.000)
Bi (0.000, 0.000, 0.000)
Bi (0.500, 0.500, 0.000)

No. 3
DFT (PBE-GGA) results for a geometry-optimized Ni2BiRh structure.

ΔH_f (0 K) (eV per atom): 0.0812
E (eV per atom): -5.618

Lattice parameters (Å, degrees): 3.845 3.943 3.943 90.00 90.00 90.00
Sites, in units of the cell vectors:
Ni (0.000, 0.000, 0.500)
Ni (0.000, 0.500, 0.000)
Rh (0.500, 0.500, 0.500)
Bi (0.500, 0.000, 0.000)

No. 4
DFT (PBE-GGA) results for a geometry-optimized NiBi3Rh structure.

ΔH_f (0 K) (eV per atom): 0.5602
E (eV per atom): -4.395
Energy above the most stable polymorph in this dataset (meV per atom): 506.2

Lattice parameters (Å, degrees): 5.043 5.043 5.043 90.00 90.00 90.00
Sites, in units of the cell vectors:
Ni (0.000, 0.000, 0.000)
Rh (0.500, 0.500, 0.500)
Bi (0.000, 0.500, 0.000)
Bi (0.000, 0.000, 0.500)
Bi (0.500, 0.000, 0.000)

No. 5
DFT (PBE-GGA) results for a geometry-optimized NiBi6Rh3 structure.

ΔH_f (0 K) (eV per atom): -0.0778
E (eV per atom): -5.190

Lattice parameters (Å, degrees): 7.178 6.696 9.701 90.00 89.03 90.00
Sites, in units of the cell vectors:
Ni (0.500, 0.500, 0.500)
Ni (0.000, 0.000, 0.000)
Bi (0.678, 0.154, 0.918)
Bi (0.663, 0.156, 0.588)
Bi (0.669, 0.516, 0.252)
Bi (0.331, 0.484, 0.748)
Bi (0.337, 0.844, 0.412)
Bi (0.322, 0.846, 0.082)
Bi (0.178, 0.346, 0.418)
Bi (0.163, 0.344, 0.088)
Bi (0.169, 0.984, 0.752)
Bi (0.831, 0.016, 0.248)
Bi (0.837, 0.656, 0.912)
Bi (0.822, 0.654, 0.582)
Rh (0.530, 0.838, 0.759)
Rh (0.500, 0.500, 0.000)
Rh (0.470, 0.162, 0.241)
Rh (0.030, 0.662, 0.259)
Rh (0.000, 0.000, 0.500)
Rh (0.970, 0.338, 0.741)

No. 6
DFT (PBE-GGA) results for a geometry-optimized Ni2BiRh2 structure.

ΔH_f (0 K) (eV per atom): 0.2334
E (eV per atom): -5.796
Energy above the most stable polymorph in this dataset (meV per atom): 0.0

Lattice parameters (Å, degrees): 6.652 6.652 3.512 90.00 90.00 90.00
Sites, in units of the cell vectors:
Ni (0.371, 0.871, 0.000)
Ni (0.871, 0.629, 0.000)
Ni (0.629, 0.129, 0.000)
Ni (0.129, 0.371, 0.000)
Rh (0.152, 0.652, 0.500)
Rh (0.652, 0.848, 0.500)
Rh (0.848, 0.348, 0.500)
Rh (0.348, 0.152, 0.500)
Bi (0.000, 0.000, 0.000)
Bi (0.500, 0.500, 0.000)

No. 7
DFT (PBE-GGA) results for a geometry-optimized NiBi8Rh2 structure.

ΔH_f (0 K) (eV per atom): 0.0912
E (eV per atom): -4.593

Lattice parameters (Å, degrees): 5.387 7.917 7.917 84.04 90.96 90.96
Sites, in units of the cell vectors:
Ni (0.000, 0.000, 0.000)
Bi (0.739, 0.131, 0.717)
Bi (0.261, 0.283, 0.869)
Bi (0.735, 0.186, 0.186)
Bi (0.265, 0.814, 0.814)
Bi (0.739, 0.717, 0.131)
Bi (0.261, 0.869, 0.283)
Bi (0.247, 0.436, 0.436)
Bi (0.753, 0.564, 0.564)
Rh (0.237, 0.212, 0.212)
Rh (0.763, 0.788, 0.788)

No. 8
DFT (PBE-GGA) results for a geometry-optimized Ni2Bi2Rh structure.

ΔH_f (0 K) (eV per atom): 0.1429
E (eV per atom): -5.192

Lattice parameters (Å, degrees): 7.046 7.046 3.568 90.00 90.00 90.00
Sites, in units of the cell vectors:
Ni (0.377, 0.877, 0.000)
Ni (0.877, 0.623, 0.000)
Ni (0.623, 0.123, 0.000)
Ni (0.123, 0.377, 0.000)
Rh (0.000, 0.000, 0.000)
Rh (0.500, 0.500, 0.000)
Bi (0.180, 0.680, 0.500)
Bi (0.680, 0.820, 0.500)
Bi (0.820, 0.320, 0.500)
Bi (0.320, 0.180, 0.500)

Repeat the eighth record exactly.
DFT (PBE-GGA) results for a geometry-optimized Ni2Bi2Rh structure.

ΔH_f (0 K) (eV per atom): 0.1429
E (eV per atom): -5.192

Lattice parameters (Å, degrees): 7.046 7.046 3.568 90.00 90.00 90.00
Sites, in units of the cell vectors:
Ni (0.377, 0.877, 0.000)
Ni (0.877, 0.623, 0.000)
Ni (0.623, 0.123, 0.000)
Ni (0.123, 0.377, 0.000)
Rh (0.000, 0.000, 0.000)
Rh (0.500, 0.500, 0.000)
Bi (0.180, 0.680, 0.500)
Bi (0.680, 0.820, 0.500)
Bi (0.820, 0.320, 0.500)
Bi (0.320, 0.180, 0.500)

> The highest E belongs to which entry?

number 4

Please write out number 6 again, unchanged.
DFT (PBE-GGA) results for a geometry-optimized Ni2BiRh2 structure.

ΔH_f (0 K) (eV per atom): 0.2334
E (eV per atom): -5.796
Energy above the most stable polymorph in this dataset (meV per atom): 0.0

Lattice parameters (Å, degrees): 6.652 6.652 3.512 90.00 90.00 90.00
Sites, in units of the cell vectors:
Ni (0.371, 0.871, 0.000)
Ni (0.871, 0.629, 0.000)
Ni (0.629, 0.129, 0.000)
Ni (0.129, 0.371, 0.000)
Rh (0.152, 0.652, 0.500)
Rh (0.652, 0.848, 0.500)
Rh (0.848, 0.348, 0.500)
Rh (0.348, 0.152, 0.500)
Bi (0.000, 0.000, 0.000)
Bi (0.500, 0.500, 0.000)